The following is a PBE calculation of crystalline SiAs2Pt at its relaxed geometry, from Alexandria via LeMat-Bulk.

abc: 3.294 3.294 6.827
angles: 90.00 90.00 90.00
Sites, in units of the cell vectors:
1 Si 0.000 0.000 0.000
2 As 0.000 0.000 0.592
3 As 0.500 0.500 0.183
4 Pt 0.500 0.500 0.791

Values from the calculation:
E_tot in Ry per atom: -0.37506
Formation energy (no corrections) in meV/atom: 88

***

The following is a PBE calculation of crystalline SiAsPt2 at its relaxed geometry, from Alexandria via LeMat-Bulk.

abc: 3.021 3.021 7.552
angles: 90.00 90.00 90.00
Sites, in units of the cell vectors:
1 Si 0.000 0.000 0.000
2 As 0.500 0.500 0.351
3 Pt 0.000 0.000 0.547
4 Pt 0.500 0.500 0.827

Values from the calculation:
E_tot in Ry per atom: -0.41491
Formation energy (no corrections) in meV/atom: -107

***

The following is a PBE calculation of crystalline SiAs2Pt at its relaxed geometry, from Alexandria via LeMat-Bulk.

abc: 5.217 7.324 7.366
angles: 90.00 90.00 90.00
Sites, in units of the cell vectors:
1 Si 0.000 0.000 0.000
2 Si 0.000 0.500 0.500
3 Si 0.500 0.000 0.500
4 Si 0.500 0.500 0.000
5 As 0.000 0.250 0.250
6 As 0.000 0.250 0.750
7 As 0.000 0.750 0.250
8 As 0.000 0.750 0.750
9 As 0.500 0.250 0.250
10 As 0.500 0.250 0.750
11 As 0.500 0.750 0.250
12 As 0.500 0.750 0.750
13 Pt 0.000 0.000 0.500
14 Pt 0.000 0.500 0.000
15 Pt 0.500 0.000 0.000
16 Pt 0.500 0.500 0.500

Values from the calculation:
E_tot in Ry per atom: -0.38594
Formation energy (no corrections) in meV/atom: -60

***

The following is a PBE calculation of crystalline SiAs2Pt at its relaxed geometry, from Alexandria via LeMat-Bulk.

abc: 2.936 5.035 9.392
angles: 90.00 90.00 90.00
Sites, in units of the cell vectors:
1 Si 0.000 0.000 0.000
2 Si 0.500 0.500 0.000
3 As 0.000 0.500 0.263
4 As 0.000 0.500 0.737
5 As 0.500 0.000 0.263
6 As 0.500 0.000 0.737
7 Pt 0.000 0.000 0.500
8 Pt 0.500 0.500 0.500

Values from the calculation:
E_tot in Ry per atom: -0.35953
Formation energy (no corrections) in meV/atom: 299

***

The following is a PBE calculation of crystalline SiAsPt2 at its relaxed geometry, from Alexandria via LeMat-Bulk.

abc: 7.297 3.595 5.372
angles: 90.00 93.92 90.00
Sites, in units of the cell vectors:
1 Si 0.000 0.000 0.000
2 Si 0.500 0.500 0.000
3 As 0.314 0.000 0.520
4 As 0.814 0.500 0.520
5 Pt 0.089 0.500 0.283
6 Pt 0.197 0.500 0.806
7 Pt 0.589 0.000 0.283
8 Pt 0.697 0.000 0.806

Values from the calculation:
E_tot in Ry per atom: -0.43922
Formation energy (no corrections) in meV/atom: -437

***

The following is a PBE calculation of crystalline SiAs2Pt at its relaxed geometry, from Alexandria via LeMat-Bulk.

abc: 5.717 5.717 10.801
angles: 90.00 90.00 90.00
Sites, in units of the cell vectors:
1 Si 0.000 0.000 0.000
2 Si 0.000 0.500 0.250
3 Si 0.500 0.000 0.750
4 Si 0.500 0.500 0.500
5 As 0.248 0.250 0.125
6 As 0.250 0.748 0.375
7 As 0.250 0.752 0.875
8 As 0.252 0.250 0.625
9 As 0.748 0.750 0.625
10 As 0.750 0.248 0.875
11 As 0.750 0.252 0.375
12 As 0.752 0.750 0.125
13 Pt 0.000 0.000 0.500
14 Pt 0.000 0.500 0.750
15 Pt 0.500 0.000 0.250
16 Pt 0.500 0.500 0.000

Values from the calculation:
E_tot in Ry per atom: -0.38872
Formation energy (no corrections) in meV/atom: -98

***

The following is a PBE calculation of crystalline SiAsPt2 at its relaxed geometry, from Alexandria via LeMat-Bulk.

abc: 4.503 4.503 3.100
angles: 90.00 90.00 90.00
Sites, in units of the cell vectors:
1 Si 0.000 0.000 0.000
2 As 0.500 0.500 0.000
3 Pt 0.000 0.500 0.500
4 Pt 0.500 0.000 0.500

Values from the calculation:
E_tot in Ry per atom: -0.41342
Formation energy (no corrections) in meV/atom: -86

***

The following is a PBE calculation of crystalline SiAs4Pt2 at its relaxed geometry, from Alexandria via LeMat-Bulk.

abc: 4.760 4.760 12.687
angles: 90.00 90.00 90.00
Sites, in units of the cell vectors:
1 Si 0.000 0.000 0.000
2 Si 0.500 0.500 0.500
3 As 0.000 0.000 0.209
4 As 0.000 0.000 0.791
5 As 0.000 0.500 0.000
6 As 0.000 0.500 0.500
7 As 0.500 0.000 0.000
8 As 0.500 0.000 0.500
9 As 0.500 0.500 0.291
10 As 0.500 0.500 0.709
11 Pt 0.000 0.000 0.392
12 Pt 0.000 0.000 0.608
13 Pt 0.500 0.500 0.108
14 Pt 0.500 0.500 0.892

Values from the calculation:
E_tot in Ry per atom: -0.35529
Formation energy (no corrections) in meV/atom: 324

***

The following is a PBE calculation of crystalline SiAsPt2 at its relaxed geometry, from Alexandria via LeMat-Bulk.

abc: 3.836 3.836 8.531
angles: 90.00 90.00 90.00
Sites, in units of the cell vectors:
1 Si 0.000 0.000 0.000
2 Si 0.500 0.500 0.500
3 As 0.000 0.500 0.750
4 As 0.500 0.000 0.250
5 Pt 0.000 0.000 0.500
6 Pt 0.000 0.500 0.250
7 Pt 0.500 0.000 0.750
8 Pt 0.500 0.500 0.000

Values from the calculation:
E_tot in Ry per atom: -0.41152
Formation energy (no corrections) in meV/atom: -61

***

The following is a PBE calculation of crystalline SiAsPt2 at its relaxed geometry, from Alexandria via LeMat-Bulk.

abc: 2.772 3.499 14.093
angles: 90.00 90.00 90.00
Sites, in units of the cell vectors:
1 Si 0.000 0.000 0.000
2 Si 0.500 0.500 0.500
3 As 0.000 0.500 0.744
4 As 0.500 0.000 0.244
5 Pt 0.000 0.000 0.577
6 Pt 0.000 0.500 0.357
7 Pt 0.500 0.000 0.857
8 Pt 0.500 0.500 0.077

Values from the calculation:
E_tot in Ry per atom: -0.43081
Formation energy (no corrections) in meV/atom: -323

***

The following is a PBE calculation of crystalline SiAsPt2 at its relaxed geometry, from Alexandria via LeMat-Bulk.

abc: 3.390 4.845 4.586
angles: 90.00 111.10 90.00
Sites, in units of the cell vectors:
1 Si 0.000 0.000 0.000
2 As 0.604 0.500 0.221
3 Pt 0.701 0.000 0.413
4 Pt 0.901 0.500 0.804

Values from the calculation:
E_tot in Ry per atom: -0.43756
Formation energy (no corrections) in meV/atom: -415

***

The following is a PBE calculation of crystalline SiAsPt2 at its relaxed geometry, from Alexandria via LeMat-Bulk.

abc: 5.667 5.667 10.464
angles: 90.00 90.00 90.00
Sites, in units of the cell vectors:
1 Si 0.000 0.000 0.000
2 Si 0.000 0.500 0.250
3 Si 0.500 0.000 0.750
4 Si 0.500 0.500 0.500
5 As 0.000 0.000 0.500
6 As 0.000 0.500 0.750
7 As 0.500 0.000 0.250
8 As 0.500 0.500 0.000
9 Pt 0.236 0.250 0.125
10 Pt 0.250 0.736 0.375
11 Pt 0.250 0.764 0.875
12 Pt 0.264 0.250 0.625
13 Pt 0.736 0.750 0.625
14 Pt 0.750 0.236 0.875
15 Pt 0.750 0.264 0.375
16 Pt 0.764 0.750 0.125

Values from the calculation:
E_tot in Ry per atom: -0.42823
Formation energy (no corrections) in meV/atom: -288